Record 1
# RbSi2Au, optimized geometry, DFT PBE
data_RbSi2Au
_chemical_formula_sum 'Rb2 Si4 Au2'
_cell_length_a 9.507
_cell_length_b 9.507
_cell_length_c 9.507
_cell_angle_alpha 149.43
_cell_angle_beta 149.43
_cell_angle_gamma 43.78
_space_group_name_H-M_alt 'P 1'
_space_group_IT_number 1
loop_
_space_group_symop_operation_xyz
'x,y,z'
loop_
_atom_site_label
_atom_site_fract_x
_atom_site_fract_y
_atom_site_fract_z
_atom_site_occupancy
Rb1 0.375 0.625 0.750 1
Rb2 0.625 0.375 0.250 1
Si1 0.000 0.000 0.000 1
Si2 0.000 0.000 0.500 1
Si3 0.000 0.500 0.000 1
Si4 0.500 0.000 0.500 1
Au1 0.125 0.875 0.250 1
Au2 0.875 0.125 0.750 1
# V (A^3/atom): 27.7
# E_form (uncorrected) (eV/atom): 0.149

Record 2
# Rb2SiAu4, optimized geometry, DFT PBE
data_Rb2SiAu4
_chemical_formula_sum 'Rb2 Si1 Au4'
_cell_length_a 9.524
_cell_length_b 9.524
_cell_length_c 9.524
_cell_angle_alpha 149.83
_cell_angle_beta 149.83
_cell_angle_gamma 43.19
_space_group_name_H-M_alt 'P 1'
_space_group_IT_number 1
loop_
_space_group_symop_operation_xyz
'x,y,z'
loop_
_atom_site_label
_atom_site_fract_x
_atom_site_fract_y
_atom_site_fract_z
_atom_site_occupancy
Rb1 0.152 0.152 0.000 1
Rb2 0.848 0.848 0.000 1
Si1 0.500 0.500 0.000 1
Au1 0.000 0.500 0.500 1
Au2 0.360 0.360 0.000 1
Au3 0.500 0.000 0.500 1
Au4 0.640 0.640 0.000 1
# V (A^3/atom): 31.1
# E_form (uncorrected) (eV/atom): -0.171